First-principles (PBE with a Hubbard U) data for a geometry-optimized ScCoNO structure, as listed in OQMD via LeMat-Bulk.

abc: 3.582 4.541 5.881
angles: 90.00 90.00 90.00
Element x y z (fractional)
Co 0.500 0.945 0.183
Co 0.500 0.445 0.817
N 0.000 0.936 0.329
N 0.000 0.436 0.671
O 0.500 0.427 0.157
O 0.500 0.927 0.843
Sc 0.000 0.446 0.319
Sc 0.000 0.946 0.681

Total DFT energy (no corrections) in eV per cell: -60.96
Polymorph energy (0 for the lowest one) in kJ/mol of formula units: 0
V in Å³/cell: 95.7